Compound: KAcNb
Source: OQMD
Functional: PBE-GGA
Structure: relaxed

The structure belongs to space group F-43m (No. 216); the cell edges are 8.100, 8.100 and 8.100 Å and the angles 90.00°, 90.00° and 90.00°. The distinct sites, in fractional coordinates, are K at (0.000, 0.000, 0.000), Ac at (0.000, 0.000, 0.500) and Nb at (0.250, 0.250, 0.750).

Its distance to the lowest polymorph of the same formula is 0 meV per atom. The total energy is -43.67 eV for the cell shown.

=====

Compound: KAcNp
Source: OQMD
Functional: PBE-GGA
Structure: relaxed

The structure belongs to space group F-43m (No. 216); the cell edges are 8.528, 8.528 and 8.528 Å and the angles 90.00°, 90.00° and 90.00°. The distinct sites, in fractional coordinates, are K at (0.000, 0.000, 0.000), Ac at (0.250, 0.250, 0.250) and Np at (0.000, 0.000, 0.500).

The total energy is -52.84 eV for the cell shown.

=====

Compound: KAcOs
Source: OQMD
Functional: PBE-GGA
Structure: relaxed

The structure belongs to space group F-43m (No. 216); the cell edges are 7.213, 7.213 and 7.213 Å and the angles 90.00°, 90.00° and 90.00°. The distinct sites, in fractional coordinates, are K at (0.000, 0.000, 0.000), Ac at (0.000, 0.000, 0.500) and Os at (0.250, 0.250, 0.750).

Its distance to the lowest polymorph of the same formula is 0 meV per atom. The total energy is -54.85 eV for the cell shown.

=====

Compound: KAcPt
Source: OQMD
Functional: PBE-GGA
Structure: relaxed

The structure belongs to space group F-43m (No. 216); the cell edges are 7.429, 7.429 and 7.429 Å and the angles 90.00°, 90.00° and 90.00°. The distinct sites, in fractional coordinates, are K at (0.000, 0.000, 0.000), Ac at (0.000, 0.000, 0.500) and Pt at (0.250, 0.250, 0.750).

Its distance to the lowest polymorph of the same formula is 0 meV per atom. The total energy is -49.27 eV for the cell shown.

=====

Compound: KAcSm
Source: OQMD
Functional: PBE-GGA
Structure: relaxed

The structure belongs to space group F-43m (No. 216); the cell edges are 8.695, 8.695 and 8.695 Å and the angles 90.00°, 90.00° and 90.00°. The distinct sites, in fractional coordinates, are K at (0.000, 0.000, 0.000), Ac at (0.000, 0.000, 0.500) and Sm at (0.250, 0.250, 0.750).

Its distance to the lowest polymorph of the same formula is 0 meV per atom. The total energy is -27.65 eV for the cell shown.

=====

Compound: KAcTa
Source: OQMD
Functional: PBE-GGA
Structure: relaxed

The structure belongs to space group F-43m (No. 216); the cell edges are 7.994, 7.994 and 7.994 Å and the angles 90.00°, 90.00° and 90.00°. The distinct sites, in fractional coordinates, are K at (0.000, 0.000, 0.000), Ac at (0.000, 0.000, 0.500) and Ta at (0.250, 0.250, 0.250).

Its distance to the lowest polymorph of the same formula is 0 meV per atom. The total energy is -47.88 eV for the cell shown.

=====

Compound: KAcTb
Source: OQMD
Functional: PBE-GGA
Structure: relaxed

The structure belongs to space group F-43m (No. 216); the cell edges are 8.332, 8.332 and 8.332 Å and the angles 90.00°, 90.00° and 90.00°. The distinct sites, in fractional coordinates, are K at (0.000, 0.000, 0.000), Ac at (0.250, 0.250, 0.750) and Tb at (0.250, 0.250, 0.250).

The total energy is -26.13 eV for the cell shown.

=====

Compound: KAcTc
Source: OQMD
Functional: PBE-GGA
Structure: relaxed

The structure belongs to space group F-43m (No. 216); the cell edges are 7.422, 7.422 and 7.422 Å and the angles 90.00°, 90.00° and 90.00°. The distinct sites, in fractional coordinates, are K at (0.000, 0.000, 0.000), Ac at (0.250, 0.250, 0.250) and Tc at (0.000, 0.000, 0.500).

Its distance to the lowest polymorph of the same formula is 0 meV per atom. The total energy is -43.59 eV for the cell shown.

=====

Compound: KAcW
Source: OQMD
Functional: PBE-GGA
Structure: relaxed

The structure belongs to space group F-43m (No. 216); the cell edges are 7.647, 7.647 and 7.647 Å and the angles 90.00°, 90.00° and 90.00°. The distinct sites, in fractional coordinates, are K at (0.000, 0.000, 0.000), Ac at (0.250, 0.250, 0.250) and W at (0.000, 0.000, 0.500).

Its distance to the lowest polymorph of the same formula is 0 meV per atom. The total energy is -47.58 eV for the cell shown.

=====

Compound: KAcZr
Source: OQMD
Functional: PBE-GGA
Structure: relaxed

The structure belongs to space group F-43m (No. 216); the cell edges are 8.264, 8.264 and 8.264 Å and the angles 90.00°, 90.00° and 90.00°. The distinct sites, in fractional coordinates, are K at (0.000, 0.000, 0.000), Ac at (0.000, 0.000, 0.500) and Zr at (0.250, 0.250, 0.750).

Its distance to the lowest polymorph of the same formula is 0 meV per atom. The total energy is -39.20 eV for the cell shown.

=====

Compound: AcLa2
Source: OQMD
Functional: PBE-GGA
Structure: relaxed

The structure belongs to space group Fd-3m (No. 227, origin choice 2); the cell edges are 14.222, 14.222 and 14.222 Å and the angles 90.00°, 90.00° and 90.00°. The distinct sites, in fractional coordinates, are Ac at (0.125, 0.125, 0.125) and La at (0.000, 0.000, 0.000).

Its formation energy from the elements is 2.014 eV/atom. The total energy is -63.28 eV for the cell shown.

=====

Compound: AcLaNb
Source: OQMD
Functional: PBE-GGA
Structure: relaxed

The structure belongs to space group F-43m (No. 216); the cell edges are 7.446, 7.446 and 7.446 Å and the angles 90.00°, 90.00° and 90.00°. The distinct sites, in fractional coordinates, are Ac at (0.000, 0.000, 0.000), La at (0.000, 0.000, 0.500) and Nb at (0.250, 0.250, 0.250).

Its distance to the lowest polymorph of the same formula is 0 meV per atom. Its formation energy from the elements is 0.729 eV/atom. The total energy is -67.74 eV for the cell shown.